Computed, not measured: an optimized crystal structure of SrLiAl2B2O7 at the PBE level of DFT.

abc: 4.938 4.938 8.570
angles: 76.41 76.41 60.57
Fractional coordinates of all 13 atoms:
Sr  0.000  0.000  0.000
Li  0.078  0.922  0.500
Al  0.433  0.418  0.708
Al  0.582  0.567  0.292
B  0.259  0.272  0.210
B  0.728  0.741  0.790
O  0.481  0.039  0.811
O  0.666  0.490  0.810
O  0.033  0.696  0.776
O  0.465  0.535  0.500
O  0.510  0.334  0.190
O  0.961  0.519  0.189
O  0.304  0.967  0.224

## Properties
The uncorrected formation energy is -33.2 eV/f.u. The space group is C2 (5). The value obtained for the total energy is -92.325 eV per cell. As for the energy above the most stable polymorph in this dataset: 0.07 eV per formula unit. Its density of states at the Fermi level is 1.7 states/eV per cell.